Density functional theory data (GGA-PBE) for Pu after structural relaxation.

```
Pu
1.0
-1.9932 1.2587 -0.1456
-0.3420 0.0475 5.0945
2.5260 3.7200 -2.4209
Pu
3
direct
0.5000 0.6666 0.3334
0.0000 0.0000 0.0000
0.5000 0.3334 0.6666
```

Computed properties:
Total magnetization ... 1.5 μB per cell
Energy of formation from the pure elements ... 477 meV per atom
Energy relative to the lowest polymorph listed for this composition ... 0.48 eV per formula unit
Space group ... P6/mmm (191)